[1]
Mn2RuW after structural relaxation, computed with PBE-GGA.

Unit cell a=5.217 b=8.147 c=2.664 alpha=90.00 beta=105.84 gamma=90.00
Space group C2/m (No. 12)
Unique sites:
1 Mn 0.250 0.250 0.000 (multiplicity 4)
2 Ru 0.000 0.000 0.500 (multiplicity 2)
3 W 0.000 0.500 0.500 (multiplicity 2)

The value obtained for the polymorph energy (0 for the lowest one) is 0.104 eV per atom. The calculation puts the total energy at -9.97 eV per atom. The formation energy is 0.17 eV per atom. As for the calculated density: 12.0 g/cm³.



[2]
Mn2RuW after structural relaxation, computed with PBE-GGA.

Unit cell a=5.385 b=7.238 c=2.725 alpha=90.00 beta=90.00 gamma=90.00
Space group Cmmm (No. 65)
Unique sites:
1 Mn 0.250 0.250 0.000 (multiplicity 4)
2 Ru 0.000 0.000 0.500 (multiplicity 2)
3 W 0.000 0.500 0.500 (multiplicity 2)

The value obtained for the polymorph energy (0 for the lowest one) is 0.089 eV per atom. The calculation puts the total energy at -9.99 eV per atom. The formation energy is 0.16 eV per atom. As for the calculated density: 12.3 g/cm³.



[3]
MnRu2W after structural relaxation, computed with PBE-GGA.

Unit cell a=5.502 b=5.514 c=7.409 alpha=90.00 beta=90.00 gamma=90.00
Space group Fmmm (No. 69)
Unique sites:
1 Mn 0.000 0.000 0.000 (multiplicity 4)
2 Ru 0.250 0.250 0.250 (multiplicity 8)
3 W 0.000 0.000 0.500 (multiplicity 4)

The value obtained for the polymorph energy (0 for the lowest one) is 0.048 eV per atom. The calculation puts the total energy at -10.12 eV per atom. The formation energy is 0.05 eV per atom. As for the calculated density: 13.0 g/cm³.



[4]
MnRuW2 after structural relaxation, computed with PBE-GGA.

Unit cell a=3.870 b=3.870 c=7.846 alpha=90.00 beta=90.00 gamma=90.00
Space group I4/mmm (No. 139)
Unique sites:
1 Mn 0.000 0.000 0.000 (multiplicity 2)
2 Ru 0.000 0.000 0.500 (multiplicity 2)
3 W 0.000 0.500 0.250 (multiplicity 4)

The value obtained for the polymorph energy (0 for the lowest one) is 0.058 eV per atom. The calculation puts the total energy at -10.94 eV per atom. The formation energy is 0.15 eV per atom. As for the calculated density: 14.8 g/cm³.